Record 1
# Ca3InOs PBE relaxed
# * ΔE to the lowest computed polymorph: 0.000 eV per formula unit
# * uncorrected energy: -3.72 eV per atom
data_Ca3InOs
_chemical_formula_sum 'Ca3 In1 Os1'
_cell_length_a 5.477
_cell_length_b 5.477
_cell_length_c 5.477
_cell_angle_alpha 90.00
_cell_angle_beta 90.00
_cell_angle_gamma 90.00
_symmetry_space_group_name_H-M 'P m -3 m'
_symmetry_Int_Tables_number 221
_symmetry_space_group_name_Hall '-P 4 2 3'
loop_
_atom_site_label
_atom_site_fract_x
_atom_site_fract_y
_atom_site_fract_z
Ca1 0.000 0.000 0.500
In1 0.500 0.500 0.500
Os1 0.000 0.000 0.000

Record 2
# CaInOs2 PBE relaxed
# * uncorrected energy: -6.66 eV per atom
data_CaInOs2
_chemical_formula_sum 'Ca1 In1 Os2'
_cell_length_a 2.958
_cell_length_b 2.958
_cell_length_c 8.663
_cell_angle_alpha 90.00
_cell_angle_beta 90.00
_cell_angle_gamma 90.00
_symmetry_space_group_name_H-M 'P 4 m m'
_symmetry_Int_Tables_number 99
loop_
_symmetry_equiv_pos_as_xyz
'x,y,z'
'-y,x,z'
'-x,-y,z'
'y,-x,z'
'-x,y,z'
'y,x,z'
'x,-y,z'
'-y,-x,z'
loop_
_atom_site_label
_atom_site_fract_x
_atom_site_fract_y
_atom_site_fract_z
Ca1 0.000 0.000 0.000
In1 0.500 0.500 0.314
Os1 0.000 0.000 0.557
Os2 0.500 0.500 0.736

Record 3
# CaIn2Os PBE relaxed
# * uncorrected energy: -4.31 eV per atom
data_CaIn2Os
_chemical_formula_sum 'Ca4 In8 Os4'
_cell_length_a 6.947
_cell_length_b 6.947
_cell_length_c 6.947
_cell_angle_alpha 90.00
_cell_angle_beta 90.00
_cell_angle_gamma 90.00
_symmetry_space_group_name_H-M 'F -4 3 m'
_symmetry_Int_Tables_number 216
_symmetry_space_group_name_Hall 'F -4 2 3'
loop_
_atom_site_label
_atom_site_fract_x
_atom_site_fract_y
_atom_site_fract_z
Ca1 0.000 0.000 0.000
In1 0.000 0.000 0.500
In2 0.250 0.250 0.250
Os1 0.250 0.250 0.750

Record 4
# CaInOs2 PBE relaxed
# * uncorrected energy: -6.15 eV per atom
data_CaInOs2
_chemical_formula_sum 'Ca1 In1 Os2'
_cell_length_a 4.109
_cell_length_b 4.109
_cell_length_c 4.293
_cell_angle_alpha 90.00
_cell_angle_beta 90.00
_cell_angle_gamma 90.00
_symmetry_space_group_name_H-M 'P 4/m m m'
_symmetry_Int_Tables_number 123
_symmetry_space_group_name_Hall '-P 4 2'
loop_
_atom_site_label
_atom_site_fract_x
_atom_site_fract_y
_atom_site_fract_z
Ca1 0.000 0.000 0.000
In1 0.500 0.500 0.000
Os1 0.000 0.500 0.500

Energy of formation values, unit kJ per mole of atoms, following the record order: 26.2, 13.7, 35.4, 62.4.